[1]
# PbSe3I

A PBEsol-optimized structure of PbSe3I (SCAN, the Alexandria database).

- E_form (uncorrected): 0.4457 eV per atom
- Total magnetization: 0.00 μB/atom

a b c (Å): 5.327 5.327 5.327
angles (deg): 90.00 90.00 90.00
Fractional coordinates of all 5 atoms:
Se: 0.000 0.000 0.500
Se: 0.000 0.500 0.000
Se: 0.500 0.000 0.000
Pb: 0.500 0.500 0.500
I: 0.000 0.000 0.000

---

[2]
# YCoW2

A PBEsol-optimized structure of YCoW2 (SCAN, the Alexandria database).

- Energy above the lowest structure with this stoichiometry: 0.2384 eV/atom
- Total magnetization: 0.33 μB/atom
- Calculated formation energy: 0.804 eV per atom

a b c (Å): 2.814 2.814 9.676
angles (deg): 81.64 81.64 60.00
Site moments in Bohr magnetons follow the coordinates.
Fractional coordinates of all 4 atoms:
W: 0.263 0.263 0.211  -0.02
W: 0.737 0.737 0.789  -0.02
Co: 0.000 0.000 0.000  1.40
Y: 0.500 0.500 0.500  0.00

---

[3]
# LaScZn

A PBEsol-optimized structure of LaScZn (SCAN, the Alexandria database).

- Energy above the lowest structure with this stoichiometry: 0.2265 eV/atom
- Total magnetization: 0.00 μB/atom
- Calculated formation energy: 0.001 eV per atom

a b c (Å): 4.858 4.858 4.858
angles (deg): 60.00 60.00 60.00
Fractional coordinates of all 3 atoms:
Sc: 0.500 0.500 0.500
La: 0.000 0.000 0.000
Zn: 0.750 0.750 0.750

---

[4]
# Be2CdBr

A PBEsol-optimized structure of Be2CdBr (SCAN, the Alexandria database).

- Energy above the lowest structure with this stoichiometry: 0.0000 eV/atom
- E_form (uncorrected): 0.2454 eV per atom
- Total magnetization: 0.00 μB/atom

a b c (Å): 3.243 4.548 5.635
angles (deg): 78.26 73.28 69.11
Fractional coordinates of all 4 atoms:
Cd: 0.500 0.000 0.000
Be: 0.159 0.553 0.128
Be: 0.841 0.447 0.872
Br: 0.500 0.500 0.500

---

[5]
# KSiIr2

A PBEsol-optimized structure of KSiIr2 (SCAN, the Alexandria database).

- E_form (uncorrected): 0.0736 eV per atom
- Total magnetization: 0.00 μB/atom

a b c (Å): 2.902 2.902 9.303
angles (deg): 81.03 81.03 60.00
Fractional coordinates of all 4 atoms:
K: 0.500 0.500 0.500
Si: 0.000 0.000 0.000
Ir: 0.730 0.730 0.810
Ir: 0.270 0.270 0.190

---

[6]
# NbBiPd2

A PBEsol-optimized structure of NbBiPd2 (SCAN, the Alexandria database).

- Total magnetization: 0.00 μB/atom
- Calculated formation energy: 0.102 eV per atom

a b c (Å): 5.638 5.927 5.927
angles (deg): 76.93 61.60 61.60
Fractional coordinates of all 8 atoms:
Nb: 0.500 0.000 0.000
Nb: 0.250 0.500 0.500
Pd: 0.875 0.512 0.988
Pd: 0.613 0.012 0.512
Pd: 0.137 0.988 0.488
Pd: 0.375 0.488 0.012
Bi: 0.000 0.000 0.000
Bi: 0.750 0.500 0.500